Crystalline IrPt2 at its relaxed geometry. Source: Alexandria via LeMat-Bulk, functional GGA-PBEsol.

Geometry as extended XYZ:
```
6
Lattice="-0.854 -0.965 2.398 2.851 -3.556 -0.415 5.514 4.176 2.100" Properties=species:S:1:pos:R:3 pbc="T T T"
Ir 2.985 0.761 1.370
Pt 0.855 -0.958 1.464
Ir 4.526 -1.105 2.713
Pt 3.303 -1.821 0.445
Pt 6.657 0.614 2.619
Pt 4.208 1.477 3.638
```

## Properties
D(E_F) = 4.55 states/eV/f.u.
excess energy over the best structure of this formula in the dataset = 59 meV per atom

=====

Crystalline Li3Mg at its relaxed geometry. Source: Alexandria via LeMat-Bulk, functional GGA-PBEsol.

Geometry as extended XYZ:
```
4
Lattice="3.096 0.007 -0.008 1.554 2.678 -0.008 1.525 0.880 9.834" Properties=species:S:1:pos:R:3 pbc="T T T"
Mg 1.525 0.880 9.833
Li 3.087 1.782 4.909
Li 1.544 0.891 2.455
Li 4.630 2.673 7.362
```

## Properties
calculated total energy = -1.9216 eV per atom
D(E_F) = 1.71 states/eV/f.u.

=====

Crystalline LiW2Cl at its relaxed geometry. Source: Alexandria via LeMat-Bulk, functional GGA-PBEsol.

Geometry as extended XYZ:
```
4
Lattice="-1.388 2.039 1.103 0.027 -2.394 4.462 3.972 3.310 -1.122" Properties=species:S:1:pos:R:3 pbc="T T T"
W 1.986 1.655 -0.561
Li -0.680 -0.177 2.782
Cl -0.694 1.020 0.551
W 2.000 0.458 1.670
```

## Properties
formation energy (no corrections) = 1.065 eV per atom
D(E_F) = 3.30 states/eV/f.u.
excess energy over the best structure of this formula in the dataset = 246 meV per atom

=====

Crystalline Hf2MgICl at its relaxed geometry. Source: Alexandria via LeMat-Bulk, functional GGA-PBEsol.

Geometry as extended XYZ:
```
5
Lattice="-4.534 -0.680 -0.351 0.746 -2.646 -4.515 0.466 -4.509 2.720" Properties=species:S:1:pos:R:3 pbc="T T T"
Hf 0.233 -2.255 1.360
I -1.661 -3.918 -1.073
Hf 0.373 -1.323 -2.258
Cl -2.267 -0.340 -0.175
Mg 0.000 0.000 0.000
```

## Properties
formation energy (no corrections) = 0.882 eV per atom
D(E_F) = 5.59 states/eV/f.u.